1.
## NiOs (PBE)

Data for crystalline NiOs at its relaxed geometry.

Lattice parameters (Å, degrees): 7.8202 7.8202 3.5139 90.00 90.00 90.00
Atoms (fractional coordinates):
Ni: 0.0000 0.3326 0.0000
Ni: 0.0000 0.6674 0.0000
Ni: 0.1674 0.5000 0.5000
Ni: 0.3326 0.0000 0.0000
Ni: 0.5000 0.1674 0.5000
Ni: 0.5000 0.8326 0.5000
Ni: 0.6674 0.0000 0.0000
Ni: 0.8326 0.5000 0.5000
Os: 0.1655 0.1655 0.5000
Os: 0.1655 0.8345 0.5000
Os: 0.3345 0.3345 0.0000
Os: 0.3345 0.6655 0.0000
Os: 0.6655 0.3345 0.0000
Os: 0.6655 0.6655 0.0000
Os: 0.8345 0.1655 0.5000
Os: 0.8345 0.8345 0.5000

The value obtained for the energy of formation from the pure elements is 0.187 eV per atom.

---

2.
## Tb4NiSb (PBE)

Data for crystalline Tb4NiSb at its relaxed geometry.

Lattice parameters (Å, degrees): 6.0561 6.5961 8.6294 90.00 110.04 90.00
Atoms (fractional coordinates):
Tb: 0.0124 0.0008 0.2085
Tb: 0.0124 0.4992 0.2085
Tb: 0.3986 0.2500 0.6222
Tb: 0.4382 0.2500 0.0866
Tb: 0.5618 0.7500 0.9134
Tb: 0.6014 0.7500 0.3778
Tb: 0.9876 0.5008 0.7915
Tb: 0.9876 0.9992 0.7915
Ni: 0.2482 0.7500 0.0648
Ni: 0.7518 0.2500 0.9352
Sb: 0.2120 0.7500 0.5493
Sb: 0.7880 0.2500 0.4507

The calculation puts the formation energy without anion corrections at -49.1 kJ/mol of atoms.

---

3.
## K3Tl9Au2 (PBE)

Data for crystalline K3Tl9Au2 at its relaxed geometry.

Lattice parameters (Å, degrees): 9.8672 9.8672 9.8672 150.34 104.49 83.15
Atoms (fractional coordinates):
K: 0.0000 0.0000 0.0000
K: 0.3220 0.3220 0.0000
K: 0.6780 0.6780 0.0000
Tl: 0.0385 0.6744 0.3641
Tl: 0.1621 0.8814 0.2808
Tl: 0.3102 0.6744 0.6359
Tl: 0.3994 0.1186 0.2808
Tl: 0.5000 0.0000 0.5000
Tl: 0.6006 0.8814 0.7192
Tl: 0.6898 0.3256 0.3641
Tl: 0.8379 0.1186 0.7192
Tl: 0.9615 0.3256 0.6359
Au: 0.2664 0.5000 0.7664
Au: 0.7336 0.5000 0.2336

The value obtained for the energy of formation from the pure elements is -0.083 eV per atom.

---

4.
## La3GaS6 (PBE)

Data for crystalline La3GaS6 at its relaxed geometry.

Lattice parameters (Å, degrees): 8.9613 8.9613 6.7322 90.00 90.00 102.62
Atoms (fractional coordinates):
La: 0.1038 0.8962 0.5000
La: 0.2121 0.4154 0.4312
La: 0.4154 0.2121 0.9312
La: 0.5846 0.7879 0.4312
La: 0.7879 0.5846 0.9312
La: 0.8962 0.1038 0.0000
Ga: 0.3040 0.6960 0.8841
Ga: 0.6960 0.3040 0.3841
S: 0.0771 0.6008 0.7205
S: 0.1400 0.1807 0.7144
S: 0.1807 0.1400 0.2144
S: 0.2853 0.7147 0.2232
S: 0.3992 0.9229 0.7205
S: 0.4584 0.5416 0.7507
S: 0.5416 0.4584 0.2507
S: 0.6008 0.0771 0.2205
S: 0.7147 0.2853 0.7232
S: 0.8193 0.8600 0.7144
S: 0.8600 0.8193 0.2144
S: 0.9229 0.3992 0.2205

The calculation puts the formation energy without anion corrections at -178.0 kJ/mol of atoms.

---

The calculation returns the following total magnetization values, one per record and in order: 0.00, 0.00, 0.00, 0.00 μB per formula unit.
The calculation returns the following E_tot values, one per record and in order: -8.32, -5.25, -2.31, -6.10 eV per atom.